SrZr2BeBr | Alexandria | GGA-PBE | optimized geometry; magnetization = 0.00 μB/cell; final energy = -4.140 eV/atom; formation energy without anion corrections = 0.6952 eV/atom
1.0
5.0228 0.0000 0.0000
0.0000 5.5633 0.0000
0.0000 0.0000 5.0228
Zr Be Sr Br
2 1 1 1
Direct
0.5000 0.0000 0.0000
0.0000 0.0000 0.5000
0.5000 0.5000 0.5000
0.0000 0.5000 0.0000
0.0000 0.0000 0.0000

CaPr2Ir | Alexandria | GGA-PBE | optimized geometry; magnetization = 0.00 μB/cell; final energy = -5.313 eV/atom; energy above the lowest structure with this stoichiometry = 0.649 eV/f.u.
1.0
4.1202 0.0000 0.0000
2.0601 3.5682 0.0000
2.0601 1.1894 10.8816
Ir Pr Ca
1 2 1
Direct
0.5000 0.5000 0.5000
0.8810 0.8810 0.3569
0.1190 0.1190 0.6431
0.0000 0.0000 0.0000

LaZrNi2 | Alexandria | GGA-PBE | optimized geometry; magnetization = 0.00 μB/cell; final energy = -6.255 eV/atom
1.0
4.6239 0.0000 0.0000
2.3120 4.0044 0.0000
2.3120 1.3348 3.7754
Ni Zr La
2 1 1
Direct
0.2500 0.2500 0.2500
0.0000 0.0000 0.0000
0.7500 0.7500 0.7500
0.5000 0.5000 0.5000

| no. | Fermi-level density of states (states/eV per atom) |
| --- | --- |
| 1 | 1.1108 |
| 2 | 1.0574 |
| 3 | 0.6020 |